# HfSc2AlRh, relaxed, DFT PBE-GGA
# - calculated formation energy (eV per atom) = 1.167
# - electronic total energy (eV per atom) = -5.58
# - D(E_F) (states/eV/f.u.) = 5.91
# - V (Å³ per cell) = 123.1
# - crystal system = tetragonal
data_HfSc2AlRh
_space_group_name_H-M_alt 'P 4/m m m'
_space_group_IT_number 123
_space_group_name_Hall '-P 4 2'
_cell_length_a 4.967
_cell_length_b 4.967
_cell_length_c 4.989
_cell_angle_alpha 90.00
_cell_angle_beta 90.00
_cell_angle_gamma 90.00
loop_
_atom_site_label
_atom_site_type_symbol
_atom_site_fract_x
_atom_site_fract_y
_atom_site_fract_z
_atom_site_occupancy
Hf1 Hf 0.000 0.000 0.000 1
Sc1 Sc 0.000 0.500 0.000 1
Al1 Al 0.000 0.000 0.500 1
Rh1 Rh 0.500 0.500 0.500 1

***

# AcAlF, relaxed, DFT PBE-GGA
# - uncorrected formation energy (meV per atom) = -1993
# - electronic total energy (eV per atom) = -5.23
# - offset from the most stable computed form (eV per formula unit) = 0.000
# - D(E_F) (states/eV/f.u.) = 1.04
# - V (Å³ per cell) = 427.3
# - crystal system = trigonal
data_AcAlF
_space_group_name_H-M_alt 'R -3 m'
_space_group_IT_number 166
_space_group_name_Hall '-R 3 2"'
_cell_length_a 4.4012
_cell_length_b 4.4012
_cell_length_c 25.4724
_cell_angle_alpha 90.00
_cell_angle_beta 90.00
_cell_angle_gamma 120.00
loop_
_atom_site_label
_atom_site_type_symbol
_atom_site_fract_x
_atom_site_fract_y
_atom_site_fract_z
_atom_site_occupancy
Ac1 Ac 0.0000 0.0000 0.0936 1
Al1 Al 0.0000 0.0000 0.3438 1
F1 F 0.0000 0.0000 0.1944 1

***

# RbGeSe3, relaxed, DFT PBE-GGA
# - uncorrected formation energy (meV per atom) = -334
# - electronic total energy (eV per atom) = -3.54
# - D(E_F) (states/eV/f.u.) = 4.07
# - V (Å³ per cell) = 1026.1
# - crystal system = trigonal
data_RbGeSe3
_space_group_name_H-M_alt 'R 3 c'
_space_group_IT_number 161
_space_group_name_Hall 'R 3 -2"c'
_cell_length_a 8.9290
_cell_length_b 8.9290
_cell_length_c 14.8619
_cell_angle_alpha 90.00
_cell_angle_beta 90.00
_cell_angle_gamma 120.00
loop_
_atom_site_label
_atom_site_type_symbol
_atom_site_fract_x
_atom_site_fract_y
_atom_site_fract_z
_atom_site_occupancy
Rb1 Rb 0.0000 0.0000 0.0000 1
Ge1 Ge 0.0000 0.0000 0.2498 1
Se1 Se 0.0790 0.4112 0.4157 1

***

# Pr7SmAl4, relaxed, DFT PBE-GGA
# - calculated formation energy (eV per atom) = -0.066
# - electronic total energy (eV per atom) = -4.49
# - D(E_F) (states/eV/f.u.) = 13.64
# - V (Å³ per cell) = 730.0
# - crystal system = monoclinic
data_Pr7SmAl4
_space_group_name_H-M_alt 'C 1 2/m 1'
_space_group_IT_number 12
_cell_length_a 14.207
_cell_length_b 5.737
_cell_length_c 10.834
_cell_angle_alpha 90.00
_cell_angle_beta 124.23
_cell_angle_gamma 90.00
loop_
_space_group_symop_operation_xyz
'x,y,z'
'-x,-y,-z'
'-x,y,-z'
'x,-y,z'
'x+1/2,y+1/2,z'
'-x+1/2,-y+1/2,-z'
'-x+1/2,y+1/2,-z'
'x+1/2,-y+1/2,z'
loop_
_atom_site_label
_atom_site_type_symbol
_atom_site_fract_x
_atom_site_fract_y
_atom_site_fract_z
_atom_site_occupancy
Pr1 Pr 0.000 0.000 0.000 1
Pr2 Pr 0.066 0.500 0.387 1
Pr3 Pr 0.204 0.000 0.646 1
Pr4 Pr 0.205 0.500 0.880 1
Sm1 Sm 0.000 0.500 0.000 1
Al1 Al 0.051 0.000 0.759 1
Al2 Al 0.175 0.000 0.331 1

***

> Which value of D(E_F) does entry 1 give?

5.91 states/eV/f.u.